Record 1
A plane-wave DFT calculation with GGA-PBE was carried out for an optimized crystal structure of Ho3GaB2Pt9.

a b c (Å): 5.7170 5.7170 9.2096
angles (deg): 90.00 90.00 120.00
Space group P-3m1 (No. 164)
One atom of each set of equivalent atoms:
Ho 0.0000 0.0000 0.0000 x1
Ho 0.3333 0.6667 0.6045 x2
Ga 0.0000 0.0000 0.5000 x1
B 0.3333 0.6667 0.1495 x2
Pt 0.0000 0.5000 0.0000 x3
Pt 0.1650 0.3299 0.2888 x6

Output
DOS at the Fermi energy = 0.171 states/eV/atom
crystal system = trigonal
DFT total energy = -0.479 Ry per atom


Record 2
A plane-wave DFT calculation with GGA-PBE was carried out for an optimized crystal structure of Ho2GaBRh6.

a b c (Å): 8.7505 8.7505 8.7505
angles (deg): 90.00 90.00 90.00
Space group Fm-3m (No. 225)
One atom of each set of equivalent atoms:
Ho 0.2500 0.2500 0.2500 x8
Ga 0.0000 0.0000 0.0000 x4
B 0.0000 0.0000 0.5000 x4
Rh 0.0000 0.0000 0.2674 x24

Output
DOS at the Fermi energy = 0.858 states/eV/atom
crystal system = cubic
DFT total energy = -0.505 Ry per atom


Record 3
A plane-wave DFT calculation with GGA-PBE was carried out for an optimized crystal structure of HoGaBRu2.

a b c (Å): 4.0093 11.0023 7.3627
angles (deg): 90.00 90.00 90.00
Space group Cmcm (No. 63)
One atom of each set of equivalent atoms:
Ho 0.0000 0.0464 0.2500 x4
Ga 0.0000 0.2295 0.7500 x4
B 0.0000 0.5000 0.0000 x4
Ru 0.0000 0.3284 0.0590 x8

Output
DOS at the Fermi energy = 0.659 states/eV/atom
crystal system = orthorhombic
DFT total energy = -0.514 Ry per atom


Record 4
A plane-wave DFT calculation with GGA-PBE was carried out for an optimized crystal structure of GaBI2.

a b c (Å): 6.7539 6.7539 13.7600
angles (deg): 90.00 90.00 90.00
Space group I-42d (No. 122)
One atom of each set of equivalent atoms:
Ga 0.0000 0.0000 0.0000 x4
B 0.0000 0.0000 0.5000 x4
I 0.1688 0.2500 0.6250 x8

Output
energy relative to the lowest polymorph listed for this composition = 0.0 meV per atom
DOS at the Fermi energy = 0.008 states/eV/atom
crystal system = tetragonal
DFT total energy = -0.180 Ry per atom
formation energy from raw total energies = 0.76 eV per atom


Record 5
A plane-wave DFT calculation with GGA-PBE was carried out for an optimized crystal structure of GaB2I.

a b c (Å): 5.2354 5.2354 10.5101
angles (deg): 90.00 90.00 90.00
Space group I-42d (No. 122)
One atom of each set of equivalent atoms:
Ga 0.0000 0.0000 0.0000 x4
B 0.2004 0.2500 0.1250 x8
I 0.0000 0.0000 0.5000 x4

Output
energy relative to the lowest polymorph listed for this composition = 0.0 meV per atom
DOS at the Fermi energy = 0.001 states/eV/atom
crystal system = tetragonal
DFT total energy = -0.255 Ry per atom
formation energy from raw total energies = 1.02 eV per atom


Record 6
A plane-wave DFT calculation with GGA-PBE was carried out for an optimized crystal structure of GaB3I.

a b c (Å): 4.4589 4.4589 4.4589
angles (deg): 90.00 90.00 90.00
Space group Pm-3m (No. 221)
One atom of each set of equivalent atoms:
Ga 0.0000 0.0000 0.0000 x1
B 0.0000 0.5000 0.5000 x3
I 0.5000 0.5000 0.5000 x1

Output
energy relative to the lowest polymorph listed for this composition = 696.6 meV per atom
DOS at the Fermi energy = 0.687 states/eV/atom
crystal system = cubic
DFT total energy = -0.174 Ry per atom
formation energy from raw total energies = 2.55 eV per atom


Record 7
A plane-wave DFT calculation with GGA-PBE was carried out for an optimized crystal structure of Ga2BI.

a b c (Å): 7.0949 7.0949 7.0949
angles (deg): 90.00 90.00 90.00
Space group Fm-3m (No. 225)
One atom of each set of equivalent atoms:
Ga 0.2500 0.2500 0.2500 x8
B 0.0000 0.0000 0.0000 x4
I 0.0000 0.0000 0.5000 x4

Output
energy relative to the lowest polymorph listed for this composition = 1121.4 meV per atom
DOS at the Fermi energy = 0.619 states/eV/atom
crystal system = cubic
DFT total energy = -0.178 Ry per atom
formation energy from raw total energies = 1.15 eV per atom


Record 8
A plane-wave DFT calculation with GGA-PBE was carried out for an optimized crystal structure of GaB3I.

a b c (Å): 4.3693 4.3693 4.3693
angles (deg): 90.00 90.00 90.00
Space group Pm-3m (No. 221)
One atom of each set of equivalent atoms:
Ga 0.0000 0.0000 0.0000 x1
B 0.0000 0.0000 0.5000 x3
I 0.5000 0.5000 0.5000 x1

Output
energy relative to the lowest polymorph listed for this composition = 0.0 meV per atom
DOS at the Fermi energy = 0.632 states/eV/atom
crystal system = cubic
DFT total energy = -0.226 Ry per atom
formation energy from raw total energies = 1.85 eV per atom


Record 9
A plane-wave DFT calculation with GGA-PBE was carried out for an optimized crystal structure of Ga2BI.

a b c (Å): 5.9507 5.9507 10.4402
angles (deg): 90.00 90.00 90.00
Space group I-42d (No. 122)
One atom of each set of equivalent atoms:
Ga 0.0971 0.2500 0.1250 x8
B 0.0000 0.0000 0.0000 x4
I 0.0000 0.0000 0.5000 x4

Output
energy relative to the lowest polymorph listed for this composition = 0.0 meV per atom
DOS at the Fermi energy = 0.000 states/eV/atom
crystal system = tetragonal
DFT total energy = -0.260 Ry per atom
formation energy from raw total energies = 0.03 eV per atom


Record 10
A plane-wave DFT calculation with GGA-PBE was carried out for an optimized crystal structure of GaB2I.

a b c (Å): 6.3439 6.3439 6.3439
angles (deg): 90.00 90.00 90.00
Space group Fm-3m (No. 225)
One atom of each set of equivalent atoms:
Ga 0.0000 0.0000 0.0000 x4
B 0.2500 0.2500 0.2500 x8
I 0.0000 0.0000 0.5000 x4

Output
energy relative to the lowest polymorph listed for this composition = 889.7 meV per atom
DOS at the Fermi energy = 0.667 states/eV/atom
crystal system = cubic
DFT total energy = -0.189 Ry per atom
formation energy from raw total energies = 1.91 eV per atom


Record 11
A plane-wave DFT calculation with GGA-PBE was carried out for an optimized crystal structure of GaBI2.

a b c (Å): 7.7434 7.7434 7.7434
angles (deg): 90.00 90.00 90.00
Space group Fm-3m (No. 225)
One atom of each set of equivalent atoms:
Ga 0.0000 0.0000 0.0000 x4
B 0.0000 0.0000 0.5000 x4
I 0.2500 0.2500 0.2500 x8

Output
energy relative to the lowest polymorph listed for this composition = 191.7 meV per atom
DOS at the Fermi energy = 0.000 states/eV/atom
crystal system = cubic
DFT total energy = -0.166 Ry per atom
formation energy from raw total energies = 0.95 eV per atom


Record 12
A plane-wave DFT calculation with GGA-PBE was carried out for an optimized crystal structure of MnGaB2I.

a b c (Å): 4.1014 4.1014 5.2008
angles (deg): 90.00 90.00 90.00
Space group P4/mmm (No. 123)
One atom of each set of equivalent atoms:
Mn 0.0000 0.0000 0.0000 x1
Ga 0.0000 0.0000 0.5000 x1
B 0.0000 0.5000 0.0000 x2
I 0.5000 0.5000 0.5000 x1

Output
DOS at the Fermi energy = 0.675 states/eV/atom
crystal system = tetragonal
DFT total energy = -0.322 Ry per atom
formation energy from raw total energies = 1.04 eV per atom